1.
DFT (GGA-PBE) results for NaSn3Pb2 after structural relaxation.

Properties
* Fermi-level density of states: 0.3111 states/eV/atom
* ΔH_f (0 K): 0.026 eV per atom
* energy above the most stable polymorph in this dataset: 48.3 meV per atom
* V: 32.98 A^3/atom

abc: 9.016 11.213 7.876
angles: 90.00 96.28 90.00
Space group C2/c (No. 15)
Inequivalent atoms, fractional coordinates:
Na 0.000 0.022 0.250 [4 per cell]
Sn 0.000 0.270 0.750 [4 per cell]
Sn 0.153 0.433 0.533 [8 per cell]
Pb 0.165 0.307 0.173 [8 per cell]

=====

2.
DFT (GGA-PBE) results for NaSn3Pb after structural relaxation.

Properties
* Fermi-level density of states: 0.3152 states/eV/atom
* ΔH_f (0 K): 0.009 eV per atom
* energy above the most stable polymorph in this dataset: 41.9 meV per atom
* V: 31.26 A^3/atom

abc: 4.566 32.158 4.258
angles: 90.00 90.00 90.00
Space group Cmmm (No. 65)
Inequivalent atoms, fractional coordinates:
Na 0.000 0.182 0.000 [4 per cell]
Sn 0.000 0.050 0.500 [4 per cell]
Sn 0.000 0.278 0.500 [4 per cell]
Sn 0.000 0.453 0.000 [4 per cell]
Pb 0.000 0.377 0.500 [4 per cell]